Arrangement i

Compound: Ag2AsCl
Source: Alexandria
Functional: PBEsol
Structure: optimized geometry

a b c (Å): 3.0933 4.5895 5.1627
angles (deg): 90.00 90.00 90.00
Fractional coordinates of all 4 atoms:
As1 0.5000 0.5000 0.0000
Ag1 0.0000 0.0000 0.0000
Ag2 0.5000 0.0000 0.5000
Cl1 0.0000 0.5000 0.5000

Calculated values
Total magnetic moment (μB/atom): 0.00
V (Å³/f.u.): 73.3
Space-group type: Pmmm (47)

=====

Arrangement ii

Compound: Ag2AsCl
Source: Alexandria
Functional: PBEsol
Structure: optimized geometry

a b c (Å): 4.7154 4.7154 4.7154
angles (deg): 60.00 60.00 60.00
Fractional coordinates of all 4 atoms:
As1 0.0000 0.0000 0.0000
Ag1 0.7500 0.7500 0.7500
Ag2 0.2500 0.2500 0.2500
Cl1 0.5000 0.5000 0.5000

Calculated values
Total magnetic moment (μB/atom): 0.35
V (Å³/f.u.): 74.1
Space-group type: Fm-3m (225)

=====

Arrangement iii

Compound: Ag2AsCl
Source: Alexandria
Functional: PBEsol
Structure: optimized geometry

a b c (Å): 4.7004 4.7004 4.7004
angles (deg): 60.00 60.00 60.00
Fractional coordinates of all 4 atoms:
As1 0.5000 0.5000 0.5000
Ag1 0.0000 0.0000 0.0000
Ag2 0.2500 0.2500 0.2500
Cl1 0.7500 0.7500 0.7500

Calculated values
Total magnetic moment (μB/atom): 0.00
V (Å³/f.u.): 73.4
Space-group type: F-43m (216)

=====

Stability verdict: arrangement i, ahead by 152 meV per atom

=====

Arrangement i

Compound: AgAs2Cl
Source: Alexandria
Functional: PBEsol
Structure: optimized geometry

a b c (Å): 3.5303 3.5947 7.3474
angles (deg): 104.16 103.90 90.00
Fractional coordinates of all 4 atoms:
As1 0.7202 0.7202 0.4405
As2 0.2798 0.2798 0.5595
Ag1 0.0000 0.5000 0.0000
Cl1 0.5000 0.0000 0.0000

Calculated values
Total magnetic moment (μB/atom): 0.00
V (Å³/f.u.): 87.6
Space-group type: Immm (71)

=====

Arrangement ii

Compound: AgAs2Cl
Source: Alexandria
Functional: PBEsol
Structure: optimized geometry

a b c (Å): 3.6563 3.6563 7.5699
angles (deg): 76.02 76.02 60.00
Fractional coordinates of all 4 atoms:
As1 0.0028 0.0028 0.9916
As2 0.7341 0.7341 0.7976
Ag1 0.2492 0.2492 0.2523
Cl1 0.5138 0.5138 0.4585

Calculated values
Total magnetic moment (μB/atom): 0.00
V (Å³/f.u.): 84.2
Space-group type: R3m (160)

=====

Stability verdict: arrangement ii, ahead by 274 meV per atom

=====

Arrangement i

Compound: CrAgAs2
Source: Alexandria
Functional: PBEsol
Structure: optimized geometry

a b c (Å): 3.0260 3.0260 8.2092
angles (deg): 79.38 79.38 60.00
Fractional coordinates of all 4 atoms:
Ag1 0.0000 0.0000 0.0000
As1 0.2360 0.2360 0.2921
As2 0.7640 0.7640 0.7079
Cr1 0.5000 0.5000 0.5000

Calculated values
Total magnetic moment (μB/atom): 0.00
V (Å³/f.u.): 63.6
Space-group type: R-3m (166)

=====

Arrangement ii

Compound: CrAgAs2
Source: Alexandria
Functional: PBEsol
Structure: optimized geometry

a b c (Å): 3.8185 3.8185 5.2486
angles (deg): 111.33 111.33 90.00
Fractional coordinates of all 4 atoms:
Ag1 0.2500 0.7500 0.5000
As1 0.0000 0.0000 0.0000
As2 0.7500 0.2500 0.5000
Cr1 0.5000 0.5000 0.0000

Calculated values
Total magnetic moment (μB/atom): 0.80
V (Å³/f.u.): 65.6
Space-group type: I-4m2 (119)

=====

Stability verdict: arrangement i, ahead by 232 meV per atom